DFT (GGA-PBE) results for a relaxed structure of TmInAs.

Lattice parameters (Å, degrees): 6.9211 6.9211 6.9211 90.00 90.00 90.00
Space group F-43m (No. 216)
One atom of each set of equivalent atoms:
Tm 0.0000 0.0000 0.0000 x4
In 0.2500 0.2500 0.2500 x4
As 0.2500 0.2500 0.7500 x4

Computed properties:
ρ = 7.19 g cm⁻³
E_tot = -4.1930 eV/atom
magnetic moment = 0.0 μB/cell